Record 1
Material: NaBi12Ir4
Method: DFT, PBE
State: optimized geometry

Summary:
Symmetry: Im-3, No. 204
Formation energy, eV/atom: -0.073

Cell: 8.5344 8.5344 8.5344 Å, 109.47 109.47 109.47°
Closest atoms and distances in Å follow each position.
Atoms (fractional coordinates):
Na 0.0000 0.0000 0.0000  12 Bi 3.66
Bi 0.1578 0.3359 0.4938  2 Ir 2.76
Bi 0.1578 0.6641 0.8219  2 Ir 2.76
Bi 0.1781 0.8422 0.3359  2 Ir 2.76
Bi 0.3359 0.1781 0.8422  2 Ir 2.76
Bi 0.3359 0.4938 0.1578  2 Ir 2.76
Bi 0.4938 0.1578 0.3359  2 Ir 2.76
Bi 0.5062 0.8422 0.6641  2 Ir 2.76
Bi 0.6641 0.5062 0.8422  2 Ir 2.76
Bi 0.6641 0.8219 0.1578  2 Ir 2.76
Bi 0.8219 0.1578 0.6641  2 Ir 2.76
Bi 0.8422 0.3359 0.1781  2 Ir 2.76
Bi 0.8422 0.6641 0.5062  2 Ir 2.76
Ir 0.0000 0.0000 0.5000  6 Bi 2.76
Ir 0.0000 0.5000 0.0000  6 Bi 2.76
Ir 0.5000 0.0000 0.0000  6 Bi 2.76
Ir 0.5000 0.5000 0.5000  6 Bi 2.76

Record 2
Material: MgTi2C
Method: DFT, PBE
State: optimized geometry

Summary:
Symmetry: Fm-3m, No. 225
Formation energy, eV/atom: 0.910

Cell: 4.2487 4.2487 4.2487 Å, 60.00 60.00 60.00°
Closest atoms and distances in Å follow each position.
Atoms (fractional coordinates):
Mg 0.0000 0.0000 0.0000  8 Ti 2.60
Ti 0.2500 0.2500 0.2500  4 Mg 2.60, 4 C 2.60
Ti 0.7500 0.7500 0.7500  4 Mg 2.60, 4 C 2.60
C 0.5000 0.5000 0.5000  8 Ti 2.60

Record 3
Material: Rb2Tl2Te2S
Method: DFT, PBE
State: optimized geometry

Summary:
Symmetry: C2/m, No. 12
Raw formation energy, meV/atom: -624

Cell: 8.3211 8.3211 8.9857 Å, 122.55 122.55 33.54°
Closest atoms and distances in Å follow each position.
Atoms (fractional coordinates):
Rb 0.0480 0.0480 0.2945  2 S 3.37
Rb 0.9520 0.9520 0.7055  2 S 3.37
Tl 0.3084 0.3084 0.2104  1 S 2.68
Tl 0.6916 0.6916 0.7896  1 S 2.68
Te 0.3362 0.3362 0.8806  3 Tl 3.10-3.23
Te 0.6638 0.6638 0.1194  3 Tl 3.10-3.23
S 0.5000 0.5000 0.5000  2 Tl 2.68

Record 4
Material: Sr2RhF
Method: DFT, PBE
State: optimized geometry

Summary:
Energy relative to the lowest polymorph listed for this composition, kJ/mol of formula units: 0.0
Symmetry: R-3m, No. 166
Raw formation energy, meV/atom: -1343

Cell: 7.4835 7.4835 7.4835 Å, 30.90 30.90 30.90°
Closest atoms and distances in Å follow each position.
Atoms (fractional coordinates):
Sr 0.2471 0.2471 0.2471  3 F 2.87, 3 Rh 2.95
Sr 0.7529 0.7529 0.7529  3 F 2.87, 3 Rh 2.95
Rh 0.0000 0.0000 0.0000  6 Sr 2.95
F 0.5000 0.5000 0.5000  6 Sr 2.87

Record 5
Material: Tb2Sm3Tm8
Method: DFT, PBE
State: optimized geometry

Summary:
Energy relative to the lowest polymorph listed for this composition, kJ/mol of formula units: 22.2
Symmetry: C2/m, No. 12
Formation energy, eV/atom: 0.257

Cell: 10.7443 10.7443 5.5537 Å, 90.03 90.03 41.54°
Closest atoms and distances in Å follow each position.
Atoms (fractional coordinates):
Tb 0.2408 0.2408 0.4992  8 Tm 3.32-3.52
Tb 0.7592 0.7592 0.5008  8 Tm 3.32-3.52
Sm 0.0000 0.0000 0.5000  4 Tm 3.12
Sm 0.2906 0.7094 0.0000  3 Sm 3.19-3.55, 6 Tm 3.48-3.54
Sm 0.7094 0.2906 0.0000  3 Sm 3.19-3.55, 6 Tm 3.48-3.54
Tm 0.1335 0.1335 0.9998  4 Sm 3.48-3.86, 2 Tb 3.51-3.52, 6 Tm 3.58-3.88
Tm 0.1802 0.6007 0.4997  1 Sm 3.12, 3 Tm 3.20-3.42, 2 Tb 3.41-3.44
Tm 0.3314 0.3314 0.9993  2 Tb 3.32, 4 Tm 3.42
Tm 0.3993 0.8198 0.5003  1 Sm 3.12, 3 Tm 3.20-3.42, 2 Tb 3.41-3.44
Tm 0.6007 0.1802 0.4997  1 Sm 3.12, 3 Tm 3.20-3.42, 2 Tb 3.41-3.44
Tm 0.6686 0.6686 0.0007  2 Tb 3.32, 4 Tm 3.42
Tm 0.8198 0.3993 0.5003  1 Sm 3.12, 3 Tm 3.20-3.42, 2 Tb 3.41-3.44
Tm 0.8665 0.8665 0.0002  4 Sm 3.48-3.86, 2 Tb 3.51-3.52, 6 Tm 3.58-3.88

Record 6
Material: LiDy2Tl6
Method: DFT, PBE
State: optimized geometry

Summary:
Symmetry: Cmmm, No. 65
Formation energy, eV/atom: -0.103

Cell: 9.2648 9.2648 3.6043 Å, 90.00 90.00 126.36°
Closest atoms and distances in Å follow each position.
Atoms (fractional coordinates):
Li 0.0000 0.0000 0.0000  8 Tl 3.02-3.16
Dy 0.3074 0.6926 0.5000  10 Tl 3.25-3.56, 2 Dy 3.60
Dy 0.6926 0.3074 0.5000  10 Tl 3.25-3.56, 2 Dy 3.60
Tl 0.0281 0.3419 0.0000  1 Li 3.02, 4 Tl 3.09-3.33, 2 Dy 3.25
Tl 0.3109 0.3109 0.5000  5 Tl 3.16-3.33, 2 Li 3.16
Tl 0.3419 0.0281 0.0000  1 Li 3.02, 4 Tl 3.09-3.33, 2 Dy 3.25
Tl 0.6581 0.9719 0.0000  1 Li 3.02, 4 Tl 3.09-3.33, 2 Dy 3.25
Tl 0.6891 0.6891 0.5000  5 Tl 3.16-3.33, 2 Li 3.16
Tl 0.9719 0.6581 0.0000  1 Li 3.02, 4 Tl 3.09-3.33, 2 Dy 3.25

Record 7
Material: MnAlBr2
Method: DFT, PBE
State: optimized geometry

Summary:
Energy relative to the lowest polymorph listed for this composition, kJ/mol of formula units: 182.1
Symmetry: Pmmm, No. 47
Raw formation energy, meV/atom: 120

Cell: 3.5455 4.3569 6.2063 Å, 90.00 90.00 90.00°
Closest atoms and distances in Å follow each position.
Atoms (fractional coordinates):
Mn 0.0000 0.0000 0.0000  4 Br 2.81
Al 0.5000 0.0000 0.5000  4 Br 2.81
Br 0.0000 0.5000 0.5000  4 Al 2.81
Br 0.5000 0.5000 0.0000  4 Mn 2.81

Record 8
Material: CaRhC
Method: DFT, PBE
State: optimized geometry

Summary:
Energy relative to the lowest polymorph listed for this composition, kJ/mol of formula units: 108.1
Symmetry: Fdd2, No. 43
Formation energy, eV/atom: 0.204

Cell: 5.6998 5.6971 4.4743 Å, 66.92 66.85 46.23°
Closest atoms and distances in Å follow each position.
Atoms (fractional coordinates):
Ca 0.0000 0.0000 0.0000  2 C 2.29
Ca 0.2500 0.2500 0.2500  2 C 2.29
Rh 0.4978 0.4978 0.5022  1 C 1.89
Rh 0.7478 0.7478 0.7522  1 C 1.89
C 0.6977 0.6977 0.3023  1 Rh 1.89
C 0.9477 0.9477 0.5523  1 Rh 1.89

| no. | E (eV per cell) |
| --- | --- |
| 1 | -84.57 |
| 2 | -22.97 |
| 3 | -21.45 |
| 4 | -17.96 |
| 5 | -55.85 |
| 6 | -26.24 |
| 7 | -15.78 |
| 8 | -35.93 |